Entry 1:
# LaTcMo2Br | Alexandria via LeMat-Bulk | SCAN | PBEsol geometry
data_LaTcMo2Br
_cell_length_a 4.549
_cell_length_b 4.549
_cell_length_c 5.369
_cell_angle_alpha 90.00
_cell_angle_beta 90.00
_cell_angle_gamma 90.00
_symmetry_space_group_name_H-M 'P 4/m m m'
_symmetry_Int_Tables_number 123
_symmetry_space_group_name_Hall '-P 4 2'
loop_
_atom_site_label
_atom_site_type_symbol
_atom_site_fract_x
_atom_site_fract_y
_atom_site_fract_z
_atom_site_occupancy
La1 La 0.000 0.000 0.000 1
Tc1 Tc 0.500 0.500 0.000 1
Mo1 Mo 0.000 0.500 0.500 1
Br1 Br 0.000 0.000 0.500 1
# total magnetization	3.6	μB per formula unit
# DOS at the Fermi energy	5.3	states/eV/f.u.
# E_form (uncorrected)	8.1	eV/f.u.


Entry 2:
# LaBrNO2 | Alexandria via LeMat-Bulk | SCAN | PBEsol geometry
data_LaBrNO2
_cell_length_a 4.163
_cell_length_b 4.163
_cell_length_c 5.642
_cell_angle_alpha 90.00
_cell_angle_beta 90.00
_cell_angle_gamma 90.00
_symmetry_space_group_name_H-M 'P 4/m m m'
_symmetry_Int_Tables_number 123
_symmetry_space_group_name_Hall '-P 4 2'
loop_
_atom_site_label
_atom_site_type_symbol
_atom_site_fract_x
_atom_site_fract_y
_atom_site_fract_z
_atom_site_occupancy
La1 La 0.000 0.000 0.000 1
Br1 Br 0.500 0.500 0.500 1
N1 N 0.000 0.000 0.500 1
O1 O 0.000 0.500 0.000 1
# total magnetization	2.4	μB per formula unit
# DOS at the Fermi energy	2.8	states/eV/f.u.
# E_form (uncorrected)	-1.2	eV/f.u.


Entry 3:
# LaSBrN2 | Alexandria via LeMat-Bulk | SCAN | PBEsol geometry
data_LaSBrN2
_cell_length_a 4.084
_cell_length_b 4.084
_cell_length_c 6.261
_cell_angle_alpha 90.00
_cell_angle_beta 90.00
_cell_angle_gamma 90.00
_symmetry_space_group_name_H-M 'P 4/m m m'
_symmetry_Int_Tables_number 123
_symmetry_space_group_name_Hall '-P 4 2'
loop_
_atom_site_label
_atom_site_type_symbol
_atom_site_fract_x
_atom_site_fract_y
_atom_site_fract_z
_atom_site_occupancy
La1 La 0.000 0.000 0.000 1
S1 S 0.000 0.000 0.500 1
Br1 Br 0.500 0.500 0.500 1
N1 N 0.000 0.500 0.000 1
# total magnetization	0.0	μB per formula unit
# DOS at the Fermi energy	2.9	states/eV/f.u.
# E_form (uncorrected)	4.5	eV/f.u.